Crystalline SbAu2I6 at its relaxed geometry. Source: the Alexandria database, functional GGA-PBE.

Computed properties:
Crystal system: monoclinic
Spin magnetization (μB per formula unit): 0.0
Mass density (g/cm3): 4.99
Uncorrected formation energy (eV/atom): -0.11

a = 7.6226 Å, b = 10.8277 Å, c = 10.8277 Å
α = 93.17°, β = 78.03°, γ = 78.03°
Positions (direct):
1 I 0.4895 0.9524 0.8146
2 I 0.0598 0.4964 0.2713
3 Au 0.3037 0.3969 0.3956
4 Au 0.6963 0.6031 0.6044
5 Sb 0.7500 0.0788 0.9212
6 Au 0.1963 0.6044 0.6031
7 I 0.5598 0.2713 0.4964
8 Sb 0.2500 0.9212 0.0788
9 I 0.9503 0.0568 0.6603
10 I 0.0105 0.1854 0.0476
11 Au 0.8037 0.3956 0.3969
12 I 0.4402 0.7287 0.5036
13 I 0.4503 0.6603 0.0568
14 I 0.0497 0.9432 0.3397
15 I 0.9895 0.8146 0.9524
16 I 0.9402 0.5036 0.7287
17 I 0.5105 0.0476 0.1854
18 I 0.5497 0.3397 0.9432